CuTe2PbO7 | PBEsol | relaxed

Lattice parameters (Å, degrees): 5.4693 7.1737 15.1463 90.00 90.00 90.00
Closest atoms and distances in Å follow each position.
Sites, in units of the cell vectors:
O 0.4921 0.4468 0.0979  1 Te 1.88, 1 Cu 1.92
O 0.0079 0.4468 0.0979  1 Te 1.88, 1 Cu 1.92
O 0.5079 0.4468 0.4021  1 Te 1.88, 1 Cu 1.92
O 0.4921 0.5532 0.5979  1 Te 1.88, 1 Cu 1.92
O 0.0005 0.0711 0.0879  1 Cu 1.93, 1 Te 1.94
O 0.4995 0.9289 0.5879  1 Cu 1.93, 1 Te 1.94
O 0.2500 0.2415 0.8903  2 Te 1.95-2.07
O 0.7500 0.7585 0.1097  2 Te 1.95-2.07
O 0.0000 0.1161 0.7500  2 Te 1.99
O 0.9921 0.5532 0.9021  1 Te 1.88, 1 Cu 1.92
O 0.5005 0.9289 0.9121  1 Cu 1.93, 1 Te 1.94
O 0.9995 0.0711 0.4121  1 Cu 1.93, 1 Te 1.94
O 0.7500 0.7681 0.7319  2 Te 1.92-2.14
O 0.0079 0.5532 0.5979  1 Te 1.88, 1 Cu 1.92
O 0.4995 0.0711 0.0879  1 Cu 1.93, 1 Te 1.94
O 0.5000 0.1161 0.7500  2 Te 1.99
O 0.9995 0.9289 0.9121  1 Cu 1.93, 1 Te 1.94
O 0.2500 0.7585 0.3903  2 Te 1.95-2.07
O 0.5005 0.0711 0.4121  1 Cu 1.93, 1 Te 1.94
O 0.9921 0.4468 0.4021  1 Te 1.88, 1 Cu 1.92
O 0.5079 0.5532 0.9021  1 Te 1.88, 1 Cu 1.92
O 0.0000 0.8839 0.2500  2 Te 1.99
O 0.7500 0.2319 0.2319  2 Te 1.92-2.14
O 0.7500 0.2415 0.6097  2 Te 1.95-2.07
O 0.2500 0.7681 0.7681  2 Te 1.92-2.14
O 0.0005 0.9289 0.5879  1 Cu 1.93, 1 Te 1.94
O 0.5000 0.8839 0.2500  2 Te 1.99
O 0.2500 0.2319 0.2681  2 Te 1.92-2.14
Cu 0.2500 0.2551 0.1119  4 O 1.92-1.93
Cu 0.7500 0.7449 0.8881  4 O 1.92-1.93
Cu 0.7500 0.2551 0.3881  4 O 1.92-1.93
Cu 0.2500 0.7449 0.6119  4 O 1.92-1.93
Pb 0.7500 0.7756 0.4649  6 O 2.56-2.87
Pb 0.7500 0.2244 0.9649  6 O 2.56-2.87
Pb 0.2500 0.7756 0.0351  6 O 2.56-2.87
Pb 0.2500 0.2244 0.5351  6 O 2.56-2.87
Te 0.7500 0.9972 0.1713  6 O 1.92-1.99
Te 0.2500 0.0028 0.8287  6 O 1.92-1.99
Te 0.2500 0.4947 0.8244  3 O 1.88-2.07
Te 0.2500 0.5053 0.3244  3 O 1.88-2.07
Te 0.7500 0.4947 0.6756  3 O 1.88-2.07
Te 0.7500 0.5053 0.1756  3 O 1.88-2.07
Te 0.2500 0.9972 0.3287  6 O 1.92-1.99
Te 0.7500 0.0028 0.6713  6 O 1.92-1.99

Results
**V**: 13.51 Å³/atom
**Crystal system**: orthorhombic
**Formation energy (no corrections)**: -0.98 eV per atom
**N(E_F)**: 5.58 states/eV/cell